BaCo2As after structural relaxation. Source: Alexandria via LeMat-Bulk, functional PBE-GGA.

Lattice parameters (Å, degrees): 4.574 4.574 3.653 90.00 90.00 90.00
Fractional positions:
Ba (0.000, 0.000, 0.000)
Co (0.000, 0.500, 0.500)
Co (0.500, 0.000, 0.500)
As (0.500, 0.500, 0.000)

Values from the calculation:
- SG: No. 123
- Crystal system: tetragonal
- Formation enthalpy at 0 K: 252 kJ/mol of formula units

---

MgNb2InH after structural relaxation. Source: Alexandria via LeMat-Bulk, functional PBE-GGA.

Lattice parameters (Å, degrees): 4.119 4.119 4.650 90.00 90.00 90.00
Fractional positions:
Mg (0.000, 0.000, 0.000)
Nb (0.000, 0.500, 0.500)
Nb (0.500, 0.000, 0.500)
In (0.500, 0.500, 0.000)
H (0.000, 0.000, 0.500)

Values from the calculation:
- SG: No. 123
- VASP energy: -28.00 eV for the cell shown
- Crystal system: tetragonal

---

YScIrRu after structural relaxation. Source: Alexandria via LeMat-Bulk, functional PBE-GGA.

Lattice parameters (Å, degrees): 6.644 6.644 6.644 90.00 90.00 90.00
Fractional positions:
Y (0.000, 0.000, 0.000)
Y (0.000, 0.500, 0.500)
Y (0.500, 0.000, 0.500)
Y (0.500, 0.500, 0.000)
Sc (0.000, 0.000, 0.500)
Sc (0.000, 0.500, 0.000)
Sc (0.500, 0.000, 0.000)
Sc (0.500, 0.500, 0.500)
Ir (0.250, 0.250, 0.750)
Ir (0.250, 0.750, 0.250)
Ir (0.750, 0.250, 0.250)
Ir (0.750, 0.750, 0.750)
Ru (0.250, 0.250, 0.250)
Ru (0.250, 0.750, 0.750)
Ru (0.750, 0.250, 0.750)
Ru (0.750, 0.750, 0.250)

Values from the calculation:
- SG: No. 216
- Crystal system: cubic
- Offset from the most stable computed form: 0.000 eV/atom
- Formation enthalpy at 0 K: -255 kJ/mol of formula units

---

Cu7PdAu2 after structural relaxation. Source: Alexandria via LeMat-Bulk, functional PBE-GGA.

Lattice parameters (Å, degrees): 4.387 6.114 6.451 114.31 101.17 104.15
Fractional positions:
Cu (0.000, 0.000, 0.000)
Cu (0.246, 0.008, 0.684)
Cu (0.386, 0.246, 0.435)
Cu (0.498, 0.393, 0.128)
Cu (0.502, 0.607, 0.872)
Cu (0.614, 0.754, 0.565)
Cu (0.754, 0.992, 0.316)
Pd (0.000, 0.500, 0.500)
Au (0.130, 0.725, 0.210)
Au (0.870, 0.275, 0.790)

Values from the calculation:
- SG: No. 2
- Crystal system: triclinic
- Formation enthalpy at 0 K: 67 kJ/mol of formula units

---

RbCaS2Br after structural relaxation. Source: Alexandria via LeMat-Bulk, functional PBE-GGA.

Lattice parameters (Å, degrees): 5.458 5.458 5.823 90.00 90.00 90.00
Fractional positions:
Rb (0.000, 0.000, 0.000)
Ca (0.500, 0.500, 0.500)
S (0.000, 0.500, 0.500)
S (0.500, 0.000, 0.500)
Br (0.500, 0.500, 0.000)

Values from the calculation:
- SG: No. 123
- Crystal system: tetragonal
- Formation energy (no corrections): -0.972 eV per atom

---

Cu after structural relaxation. Source: Alexandria via LeMat-Bulk, functional PBE-GGA.

Lattice parameters (Å, degrees): 7.545 7.545 3.573 90.00 90.00 90.00
Fractional positions:
Cu (0.000, 0.329, 0.000)
Cu (0.000, 0.671, 0.000)
Cu (0.164, 0.164, 0.500)
Cu (0.164, 0.836, 0.500)
Cu (0.171, 0.500, 0.500)
Cu (0.329, 0.000, 0.000)
Cu (0.336, 0.336, 0.000)
Cu (0.336, 0.664, 0.000)
Cu (0.500, 0.171, 0.500)
Cu (0.500, 0.829, 0.500)
Cu (0.664, 0.336, 0.000)
Cu (0.664, 0.664, 0.000)
Cu (0.671, 0.000, 0.000)
Cu (0.829, 0.500, 0.500)
Cu (0.836, 0.164, 0.500)
Cu (0.836, 0.836, 0.500)

Values from the calculation:
- SG: No. 139
- Crystal system: tetragonal
- Offset from the most stable computed form: 0.126 eV/atom
- Formation enthalpy at 0 K: 12 kJ/mol of formula units

---

Nd6Sn2Rh after structural relaxation. Source: Alexandria via LeMat-Bulk, functional PBE-GGA.

Lattice parameters (Å, degrees): 6.368 8.620 12.156 90.00 121.37 90.00
Fractional positions:
Nd (0.073, 0.174, 0.449)
Nd (0.073, 0.326, 0.949)
Nd (0.320, 0.681, 0.450)
Nd (0.320, 0.819, 0.950)
Nd (0.351, 0.028, 0.243)
Nd (0.351, 0.472, 0.743)
Nd (0.649, 0.528, 0.257)
Nd (0.649, 0.972, 0.757)
Nd (0.680, 0.181, 0.050)
Nd (0.680, 0.319, 0.550)
Nd (0.927, 0.674, 0.051)
Nd (0.927, 0.826, 0.551)
Sn (0.170, 0.116, 0.754)
Sn (0.170, 0.384, 0.254)
Sn (0.830, 0.616, 0.746)
Sn (0.830, 0.884, 0.246)
Rh (0.500, 0.000, 0.500)
Rh (0.500, 0.500, 0.000)

Values from the calculation:
- SG: No. 14
- Crystal system: monoclinic
- Formation enthalpy at 0 K: -424 kJ/mol of formula units

---

Tb4BiRh after structural relaxation. Source: Alexandria via LeMat-Bulk, functional PBE-GGA.

Lattice parameters (Å, degrees): 8.151 8.151 6.087 102.70 102.70 112.82
Fractional positions:
Tb (0.061, 0.716, 0.931)
Tb (0.206, 0.353, 0.655)
Tb (0.284, 0.939, 0.569)
Tb (0.353, 0.206, 0.155)
Tb (0.647, 0.794, 0.845)
Tb (0.716, 0.061, 0.431)
Tb (0.794, 0.647, 0.345)
Tb (0.939, 0.284, 0.069)
Bi (0.375, 0.625, 0.250)
Bi (0.625, 0.375, 0.750)
Rh (0.001, 0.999, 0.750)
Rh (0.999, 0.001, 0.250)

Values from the calculation:
- SG: No. 15
- Crystal system: monoclinic
- Offset from the most stable computed form: 0.046 eV/atom
- Formation enthalpy at 0 K: -331 kJ/mol of formula units

---

PrHoTh2P4 after structural relaxation. Source: Alexandria via LeMat-Bulk, functional PBE-GGA.

Lattice parameters (Å, degrees): 7.114 4.130 7.155 90.00 109.63 90.00
Fractional positions:
Pr (0.000, 0.000, 0.000)
Ho (0.000, 0.500, 0.500)
Th (0.500, 0.000, 0.500)
Th (0.500, 0.500, 0.000)
P (0.247, 0.000, 0.743)
P (0.252, 0.500, 0.256)
P (0.748, 0.500, 0.744)
P (0.753, 0.000, 0.257)

Values from the calculation:
- SG: No. 10
- Crystal system: monoclinic
- Formation enthalpy at 0 K: -1203 kJ/mol of formula units

---

LaCe4H10 after structural relaxation. Source: Alexandria via LeMat-Bulk, functional PBE-GGA.

Lattice parameters (Å, degrees): 16.008 16.008 16.008 13.90 13.90 13.90
Fractional positions:
La (0.000, 0.000, 0.000)
Ce (0.200, 0.200, 0.200)
Ce (0.401, 0.401, 0.401)
Ce (0.599, 0.599, 0.599)
Ce (0.800, 0.800, 0.800)
H (0.051, 0.051, 0.051)
H (0.150, 0.150, 0.150)
H (0.249, 0.249, 0.249)
H (0.352, 0.352, 0.352)
H (0.451, 0.451, 0.451)
H (0.549, 0.549, 0.549)
H (0.648, 0.648, 0.648)
H (0.751, 0.751, 0.751)
H (0.850, 0.850, 0.850)
H (0.949, 0.949, 0.949)

Values from the calculation:
- SG: No. 166
- VASP energy: -70.47 eV for the cell shown
- Crystal system: trigonal

---

POsCS after structural relaxation. Source: Alexandria via LeMat-Bulk, functional PBE-GGA.

Lattice parameters (Å, degrees): 7.919 3.573 5.307 90.00 130.54 90.00
Fractional positions:
P (0.000, 0.000, 0.000)
P (0.500, 0.500, 0.000)
Os (0.258, 0.000, 0.838)
Os (0.758, 0.500, 0.838)
C (0.230, 0.000, 0.437)
C (0.730, 0.500, 0.437)
S (0.445, 0.000, 0.440)
S (0.945, 0.500, 0.440)

Values from the calculation:
- SG: No. 8
- Crystal system: monoclinic
- Offset from the most stable computed form: 0.051 eV/atom
- Formation energy (no corrections): 0.373 eV per atom

---

YCdRh2 after structural relaxation. Source: Alexandria via LeMat-Bulk, functional PBE-GGA.

Lattice parameters (Å, degrees): 3.285 3.285 24.941 90.00 90.00 120.00
Fractional positions:
Y (0.000, 0.000, 0.000)
Y (0.333, 0.667, 0.667)
Y (0.667, 0.333, 0.333)
Cd (0.000, 0.000, 0.500)
Cd (0.333, 0.667, 0.167)
Cd (0.667, 0.333, 0.833)
Rh (0.000, 0.000, 0.250)
Rh (0.000, 0.000, 0.750)
Rh (0.333, 0.667, 0.416)
Rh (0.333, 0.667, 0.917)
Rh (0.667, 0.333, 0.083)
Rh (0.667, 0.333, 0.584)

Values from the calculation:
- SG: No. 166
- Crystal system: trigonal
- Formation enthalpy at 0 K: -60 kJ/mol of formula units

---

PmPuAsCl after structural relaxation. Source: Alexandria via LeMat-Bulk, functional PBE-GGA.

Lattice parameters (Å, degrees): 7.205 7.205 7.205 90.00 90.00 90.00
Fractional positions:
Pm (0.000, 0.000, 0.000)
Pm (0.000, 0.500, 0.500)
Pm (0.500, 0.000, 0.500)
Pm (0.500, 0.500, 0.000)
Pu (0.000, 0.000, 0.500)
Pu (0.000, 0.500, 0.000)
Pu (0.500, 0.000, 0.000)
Pu (0.500, 0.500, 0.500)
As (0.250, 0.250, 0.250)
As (0.250, 0.750, 0.750)
As (0.750, 0.250, 0.750)
As (0.750, 0.750, 0.250)
Cl (0.250, 0.250, 0.750)
Cl (0.250, 0.750, 0.250)
Cl (0.750, 0.250, 0.250)
Cl (0.750, 0.750, 0.750)

Values from the calculation:
- SG: No. 216
- Crystal system: cubic
- Formation energy (no corrections): -1.143 eV per atom